# 1
A relaxed Tb4Sc5 crystal. Source: Alexandria, functional PBE.

a b c (Å): 4.828 7.574 7.574
angles (deg): 84.17 71.42 71.42
Fractional coordinates of all 9 atoms:
Sc (0.337, 0.326, 0.000)
Sc (0.663, 0.000, 0.674)
Sc (0.663, 0.674, 0.000)
Sc (0.000, 0.000, 0.000)
Tb (0.000, 0.326, 0.674)
Tb (0.674, 0.326, 0.326)
Tb (0.326, 0.674, 0.674)
Tb (0.000, 0.674, 0.326)
Sc (0.337, 0.000, 0.326)

Values from the calculation:
- magnetization (μB/cell) = 0.000
- SG = I4/mmm
- crystal system = tetragonal
- V (Å³ per cell) = 248.8
- Fermi-level density of states (states/eV/cell) = 14.531
- energy relative to the elements (eV/atom) = 0.054
- energy relative to the lowest polymorph listed for this composition (eV per atom) = 0.000

# 2
A relaxed Tb7Sc2 crystal. Source: Alexandria, functional PBE.

a b c (Å): 6.059 6.059 8.539
angles (deg): 90.00 90.00 120.00
Fractional coordinates of all 9 atoms:
Sc (0.333, 0.667, 0.000)
Tb (0.336, 0.336, 0.327)
Tb (0.000, 0.664, 0.327)
Tb (0.336, 0.000, 0.673)
Tb (0.000, 0.000, 0.000)
Tb (0.664, 0.664, 0.673)
Tb (0.000, 0.336, 0.673)
Sc (0.667, 0.333, 0.000)
Tb (0.664, 0.000, 0.327)

Values from the calculation:
- magnetization (μB/cell) = 0.000
- SG = P-31m
- crystal system = trigonal
- V (Å³ per cell) = 271.5
- Fermi-level density of states (states/eV/cell) = 12.923
- energy relative to the elements (eV/atom) = 0.041
- energy relative to the lowest polymorph listed for this composition (eV per atom) = 0.000

Question: What is the energy relative to the lowest polymorph listed for this composition in the second record?
Answer: 0.000 eV per atom

Question: Which value of energy relative to the lowest polymorph listed for this composition does entry 1 give?
Answer: 0.000 eV per atom

Repeat the second record exactly.
A relaxed Tb7Sc2 crystal. Source: Alexandria, functional PBE.

a b c (Å): 6.059 6.059 8.539
angles (deg): 90.00 90.00 120.00
Fractional coordinates of all 9 atoms:
Sc (0.333, 0.667, 0.000)
Tb (0.336, 0.336, 0.327)
Tb (0.000, 0.664, 0.327)
Tb (0.336, 0.000, 0.673)
Tb (0.000, 0.000, 0.000)
Tb (0.664, 0.664, 0.673)
Tb (0.000, 0.336, 0.673)
Sc (0.667, 0.333, 0.000)
Tb (0.664, 0.000, 0.327)

Values from the calculation:
- magnetization (μB/cell) = 0.000
- SG = P-31m
- crystal system = trigonal
- V (Å³ per cell) = 271.5
- Fermi-level density of states (states/eV/cell) = 12.923
- energy relative to the elements (eV/atom) = 0.041
- energy relative to the lowest polymorph listed for this composition (eV per atom) = 0.000